Computed, not measured: a geometry-optimized SrOsSe2 structure at the PBE-GGA level of DFT.

POSCAR file:
```
SrOsSe2
1.0
5.3858 0.0021 -0.0094
4.0009 3.6055 -0.0094
1.8861 0.7249 5.1750
Sr Se Os
1 2 1
direct
0.5521 0.5521 0.4462 Sr
0.8981 0.8981 0.1982 Se
0.7359 0.7359 0.8275 Se
0.3139 0.3139 0.0281 Os
```

Output
Polymorph energy (0 for the lowest one): 203 meV per atom
Total magnetic moment: 0.000 μB per atom
Symmetry: Cm (8)